Compound: LaSiRu2
Source: Alexandria via LeMat-Bulk
Functional: GGA-PBE
Structure: optimized geometry

It has space group C2/m (No. 12), with a = 6.1505 Å, b = 8.6083 Å, c = 3.0349 Å, α = 90.00°, β = 118.73° and γ = 90.00°. Symmetry generates all atoms from La at (0.0000, 0.0000, 0.0000), Si at (0.0000, 0.5000, 0.0000) and Ru at (0.2500, 0.2500, 0.5000).

The calculation puts the uncorrected formation energy at 0.073 eV/atom. Its crystal system is monoclinic.